A relaxed structure of CaSb2TePt, computed with PBE.

Properties
calculated total energy = -4.0424 eV/atom
density of states at the Fermi level = 1.170 states/eV/atom
ΔE to the lowest computed polymorph = 0.000 eV per atom

Cell: 5.2297 5.2297 5.6744 Å, 90.00 90.00 90.00°
Atoms (fractional coordinates):
Sb (0.0000, 0.5000, 0.0000)
Sb (0.5000, 0.0000, 0.0000)
Ca (0.5000, 0.5000, 0.5000)
Te (0.0000, 0.0000, 0.5000)
Pt (0.0000, 0.0000, 0.0000)